KBi3Os | Alexandria | PBE | relaxed; spin magnetization = 0.000 μB per formula unit; energy relative to the elements = 505.5 meV per atom; symmetry = Pm-3m
1.0
5.4738 0.0000 0.0000
0.0000 5.4738 0.0000
0.0000 0.0000 5.4738
K Os Bi
1 1 3
Direct
0.5000 0.5000 0.5000
0.0000 0.0000 0.0000
0.0000 0.5000 0.0000
0.0000 0.0000 0.5000
0.5000 0.0000 0.0000

---

KBi2Os | Alexandria | PBE | relaxed; spin magnetization = 0.000 μB per formula unit; energy relative to the elements = 615.6 meV per atom; symmetry = Fm-3m; distance to the lowest polymorph of the same formula = 0.117 eV per atom
1.0
0.0000 3.6076 3.6076
3.6076 0.0000 3.6076
3.6076 3.6076 0.0000
K Os Bi
1 1 2
Direct
0.0000 0.0000 0.0000
0.5000 0.5000 0.5000
0.2500 0.2500 0.2500
0.7500 0.7500 0.7500

---

KBi2Os | Alexandria | PBE | relaxed; spin magnetization = 0.000 μB per formula unit; energy relative to the elements = 498.1 meV per atom; symmetry = I-42d; distance to the lowest polymorph of the same formula = 0.000 eV per atom
1.0
-4.7096 0.3361 -7.0882
6.8745 -1.8934 -4.6574
0.3446 -4.2581 -5.5475
K Os Bi
2 2 4
Direct
0.5000 0.5000 0.0000
0.2500 0.7500 0.5000
0.0000 0.0000 0.0000
0.7500 0.2500 0.5000
0.7140 0.1250 0.2500
0.0360 0.6250 0.2500
0.3750 0.2860 0.7500
0.8750 0.9640 0.7500